No. 1
Compound: Sc3Tl
Source: Alexandria via LeMat-Bulk
Functional: GGA-PBEsol
Structure: optimized geometry

Cell and atoms, written as extended XYZ:
```
4
Lattice="-1.6156 -2.8651 0.6417 0.7103 -1.3178 -4.0953 5.3477 -2.6160 1.7692" Properties=species:S:1:pos:R:3 pbc="T T T"
Sc 3.9951 -1.9555 1.3221
Sc -0.2631 -3.5256 1.0888
Sc 2.2211 -3.3994 -0.8422
Tl -0.4527 -2.0914 -1.7268
```

Results
Crystal system: orthorhombic
Space group: Pmmm, No. 47
Formation energy, meV per atom: -197.6



No. 2
Compound: Cd2BSeCl
Source: Alexandria via LeMat-Bulk
Functional: GGA-PBEsol
Structure: optimized geometry

Cell and atoms, written as extended XYZ:
```
5
Lattice="4.0670 0.0000 0.0000 0.0000 4.8044 0.0000 0.0000 0.0000 4.8044" Properties=species:S:1:pos:R:3 pbc="T T T"
Cd 0.0000 0.0000 2.4022
Cd 0.0000 2.4022 0.0000
B 0.0000 0.0000 0.0000
Se 2.0335 2.4022 2.4022
Cl 2.0335 0.0000 0.0000
```

Results
Crystal system: tetragonal
Space group: P4/mmm, No. 123
Raw formation energy, eV/atom: 0.42



No. 3
Compound: CaTaAs2
Source: Alexandria via LeMat-Bulk
Functional: GGA-PBEsol
Structure: optimized geometry

Cell and atoms, written as extended XYZ:
```
4
Lattice="3.4674 0.0000 0.0000 0.0000 4.4917 0.0000 -1.7337 0.0000 4.8968" Properties=species:S:1:pos:R:3 pbc="T T T"
Ta 1.7337 0.0000 2.4716
As 0.0000 0.0000 0.3133
As 0.0000 2.2459 2.1836
Ca 0.0000 2.2459 4.8252
```

Results
Crystal system: orthorhombic
Space group: Amm2, No. 38
E above lowest polymorph, meV/atom: 371
Formation energy, meV per atom: -384.6



| no. | M_tot (μB/cell) | V (Å³/atom) |
| --- | --- | --- |
| 1 | 0.09 | 22.69 |
| 2 | 0.00 | 18.78 |
| 3 | 0.00 | 19.07 |